This record from the Alexandria database describes a geometry-optimized Hf12AlFe6 structure. The functional is GGA-PBE.

SG = Im-3, No. 204
magnetic moment = 4.09 Bohr magnetons per cell
E_tot = -176.57 eV/cell
formation energy = -0.1371 eV/atom

The structure in POSCAR format:
```
Hf12AlFe6
1.0
-4.444 4.444 4.444
4.444 -4.444 4.444
4.444 4.444 -4.444
Hf Al Fe
12 1 6
Direct
0.099 0.807 0.292
0.193 0.292 0.485
0.193 0.708 0.901
0.292 0.099 0.807
0.292 0.485 0.193
0.485 0.193 0.292
0.515 0.807 0.708
0.708 0.515 0.807
0.708 0.901 0.193
0.807 0.292 0.099
0.807 0.708 0.515
0.901 0.193 0.708
0.000 0.000 0.000
0.123 0.623 0.500
0.377 0.500 0.877
0.500 0.123 0.623
0.500 0.877 0.377
0.623 0.500 0.123
0.877 0.377 0.500
```

---

This record from the Alexandria database describes a geometry-optimized HfAl8Fe4 structure. The functional is GGA-PBE.

SG = I4/mmm, No. 139
magnetic moment = 4.85 Bohr magnetons per cell
E_tot = -79.05 eV/cell
formation energy = -0.4078 eV/atom

The structure in POSCAR format:
```
HfAl8Fe4
1.0
-4.282 4.282 2.486
4.282 -4.282 2.486
4.282 4.282 -2.486
Hf Al Fe
1 8 4
Direct
0.000 0.000 0.000
0.000 0.338 0.338
0.000 0.662 0.662
0.284 0.500 0.784
0.338 0.000 0.338
0.500 0.284 0.784
0.500 0.716 0.216
0.662 0.000 0.662
0.716 0.500 0.216
0.000 0.000 0.500
0.000 0.500 0.000
0.500 0.000 0.000
0.500 0.500 0.500
```

---

This record from the Alexandria database describes a geometry-optimized HfAl3Fe8 structure. The functional is GGA-PBE.

SG = P3m1, No. 156
magnetic moment = 12.51 Bohr magnetons per cell
E_tot = -91.39 eV/cell
formation energy = -0.2086 eV/atom

The structure in POSCAR format:
```
HfAl3Fe8
1.0
4.776 0.000 0.000
-2.388 4.136 0.000
0.000 0.000 7.745
Hf Al Fe
1 3 8
Direct
0.000 0.000 0.000
0.000 0.000 0.375
0.667 0.333 0.494
0.667 0.333 0.862
0.164 0.328 0.679
0.164 0.836 0.679
0.333 0.667 0.431
0.333 0.667 0.932
0.504 0.007 0.187
0.504 0.496 0.187
0.672 0.836 0.679
0.993 0.496 0.187
```

---

This record from the Alexandria database describes a geometry-optimized Hf3AlFe8 structure. The functional is GGA-PBE.

SG = R3m, No. 160
magnetic moment = 13.01 Bohr magnetons per cell
E_tot = -105.30 eV/cell
formation energy = -0.3329 eV/atom

The structure in POSCAR format:
```
Hf3AlFe8
1.0
2.442 1.410 7.973
-2.442 1.410 7.973
0.000 -2.820 7.973
Hf Al Fe
3 1 8
Direct
0.000 0.000 0.000
0.127 0.127 0.127
0.621 0.621 0.621
0.498 0.498 0.498
0.061 0.061 0.562
0.061 0.562 0.061
0.064 0.562 0.562
0.312 0.312 0.312
0.562 0.061 0.061
0.562 0.064 0.562
0.562 0.562 0.064
0.812 0.812 0.812
```

---

This record from the Alexandria database describes a geometry-optimized Hf2Al3Fe structure. The functional is GGA-PBE.

SG = R-3m, No. 166
magnetic moment = 1.58 Bohr magnetons per cell
E_tot = -42.21 eV/cell
formation energy = -0.4356 eV/atom

The structure in POSCAR format:
```
Hf2Al3Fe
1.0
2.614 1.509 4.177
-2.614 1.509 4.177
0.000 -3.019 4.177
Hf Al Fe
2 3 1
Direct
0.128 0.128 0.128
0.872 0.872 0.872
0.000 0.500 0.500
0.500 0.000 0.500
0.500 0.500 0.000
0.500 0.500 0.500
```

---

This record from the Alexandria database describes a geometry-optimized HfAl4Fe structure. The functional is GGA-PBE.

SG = C2/m, No. 12
magnetic moment = 3.79 Bohr magnetons per cell
E_tot = -68.66 eV/cell
formation energy = -0.1574 eV/atom

The structure in POSCAR format:
```
HfAl4Fe
1.0
6.703 -3.174 0.000
6.703 3.174 0.000
-1.832 0.000 4.613
Hf Al Fe
2 8 2
Direct
0.211 0.211 0.210
0.789 0.789 0.790
0.098 0.673 0.386
0.192 0.808 0.000
0.327 0.902 0.614
0.329 0.329 0.828
0.671 0.671 0.172
0.673 0.098 0.386
0.808 0.192 0.000
0.902 0.327 0.614
0.500 0.500 0.271
0.500 0.500 0.729
```

---

This record from the Alexandria database describes a geometry-optimized HfAlFe2 structure. The functional is GGA-PBE.

SG = P4/mmm, No. 123
magnetic moment = 0.65 Bohr magnetons per cell
E_tot = -31.81 eV/cell
formation energy = -0.2973 eV/atom

The structure in POSCAR format:
```
HfAlFe2
1.0
3.054 0.000 0.000
0.000 3.054 0.000
0.000 0.000 5.889
Hf Al Fe
1 1 2
Direct
0.000 0.000 0.000
0.000 0.000 0.500
0.500 0.500 0.269
0.500 0.500 0.731
```

---

This record from the Alexandria database describes a geometry-optimized Hf6AlFe2 structure. The functional is GGA-PBE.

SG = Immm, No. 71
magnetic moment = 0.00 Bohr magnetons per cell
E_tot = -164.34 eV/cell
formation energy = -0.1977 eV/atom

The structure in POSCAR format:
```
Hf6AlFe2
1.0
-4.210 4.267 4.803
4.210 -4.267 4.803
4.210 4.267 -4.803
Hf Al Fe
12 2 4
Direct
0.033 0.234 0.798
0.186 0.299 0.485
0.186 0.701 0.888
0.328 0.020 0.693
0.328 0.635 0.307
0.436 0.234 0.202
0.564 0.766 0.798
0.672 0.365 0.693
0.672 0.980 0.307
0.814 0.299 0.112
0.814 0.701 0.515
0.967 0.766 0.202
0.000 0.000 0.000
0.500 0.500 0.000
0.134 0.634 0.500
0.328 0.000 0.328
0.672 0.000 0.672
0.866 0.366 0.500
```